Compound: LiPb2Br4Cl
Source: the Alexandria database
Functional: GGA-PBE
Structure: relaxed

As for the raw formation energy: -1.09 eV/atom.

The structure belongs to space group C2/m (No. 12); the cell edges are 13.4441, 4.1240 and 9.9922 Å and the angles 90.00°, 120.41° and 90.00°. The inequivalent atoms are Li at (0.0000, 0.0000, 0.0000), Pb at (0.1742, 0.0000, 0.7339), Br at (0.1130, 0.5000, 0.9328), Br at (0.1754, 0.0000, 0.2908) and Cl at (0.0000, 0.5000, 0.5000).